# NdTlS3, optimized geometry, DFT PBE
data_NdTlS3
_symmetry_space_group_name_H-M 'P 1'
_symmetry_Int_Tables_number 1
_cell_length_a 4.050
_cell_length_b 8.784
_cell_length_c 7.642
_cell_angle_alpha 104.17
_cell_angle_beta 90.00
_cell_angle_gamma 90.00
loop_
_symmetry_equiv_pos_as_xyz
'x,y,z'
loop_
_atom_site_label
_atom_site_type_symbol
_atom_site_fract_x
_atom_site_fract_y
_atom_site_fract_z
Nd1 Nd 0.750 0.678 0.735
Nd2 Nd 0.250 0.322 0.265
S1 S 0.750 0.570 0.337
S2 S 0.750 0.116 0.360
S3 S 0.750 0.190 0.007
S4 S 0.250 0.430 0.663
S5 S 0.250 0.810 0.993
S6 S 0.250 0.884 0.640
Tl1 Tl 0.750 0.208 0.693
Tl2 Tl 0.250 0.792 0.307
# Formation energy without anion corrections (eV/atom): -1.0102
# Space group: P2_1/m (11)
# Crystal system: monoclinic
# DFT total energy (eV per atom): -4.91
# Total moment (μB per cell): 0.000